! GGA-PBE Tb2CuP3Rh12, relaxed; values from VASP
! - Symmetry: R-3m (166)
! - D(E_F): 16.66 states/eV per cell
! - Crystal system: trigonal
! - Formation energy: -244 meV per atom
! - Energy: -122.2 eV/cell
&SYSTEM
  ibrav = 0, nat = 18, ntyp = 4
/
ATOMIC_SPECIES
Rh 102.91 Rh.upf
P 30.97 P.upf
Tb 158.93 Tb.upf
Cu 63.55 Cu.upf
CELL_PARAMETERS angstrom
-2.482 5.493 2.864
1.823 -1.394 6.267
5.643 3.562 0.071
ATOMIC_POSITIONS angstrom
Rh 1.767 0.621 4.710
P -1.241 2.747 1.432
Rh 3.673 3.095 1.618
P 0.911 -0.697 3.133
Rh 0.479 5.788 4.925
Rh 3.217 7.040 4.492
Tb 1.870 2.875 3.454
Rh -0.382 4.059 3.011
Rh 1.310 4.566 7.584
Cu 0.000 0.000 0.000
Rh 4.504 1.874 4.276
Rh 2.815 2.051 6.772
P 2.821 1.781 0.036
Rh 0.096 2.921 5.792
Tb 3.113 4.786 5.748
Rh 2.168 5.611 2.430
Rh 4.888 4.740 3.410
Rh 5.365 3.602 6.190